# GdEr4Al15

An optimized crystal structure of GdEr4Al15 (GGA-PBE, Alexandria via LeMat-Bulk).

a = 12.4272 Å, b = 12.4272 Å, c = 12.4272 Å
α = 28.38°, β = 28.38°, γ = 28.38°
Closest atoms and distances in Å follow each position.
Fractional positions:
1 Gd 0.0000 0.0000 0.0000  12 Al 3.05-3.07
2 Er 0.1308 0.1308 0.1308  12 Al 3.01-3.05
3 Er 0.8692 0.8692 0.8692  12 Al 3.01-3.05
4 Er 0.4001 0.4001 0.4001  12 Al 2.97-3.05
5 Er 0.5999 0.5999 0.5999  12 Al 2.97-3.05
6 Al 0.5000 0.0000 0.5000  8 Al 2.91-3.05, 2 Er 2.97, 2 Gd 3.05
7 Al 0.5000 0.5000 0.0000  8 Al 2.91-3.05, 2 Er 2.97, 2 Gd 3.05
8 Al 0.0000 0.5000 0.5000  8 Al 2.91-3.05, 2 Er 2.97, 2 Gd 3.05
9 Al 0.1303 0.6356 0.6356  8 Al 2.93-3.08, 4 Er 2.99-3.05
10 Al 0.6356 0.1303 0.6356  8 Al 2.93-3.08, 4 Er 2.99-3.05
11 Al 0.6356 0.6356 0.1303  8 Al 2.93-3.08, 4 Er 2.99-3.05
12 Al 0.8697 0.3644 0.3644  8 Al 2.93-3.08, 4 Er 2.99-3.05
13 Al 0.3644 0.8697 0.3644  8 Al 2.93-3.08, 4 Er 2.99-3.05
14 Al 0.3644 0.3644 0.8697  8 Al 2.93-3.08, 4 Er 2.99-3.05
15 Al 0.4347 0.8824 0.8824  6 Al 2.73-2.93, 3 Er 3.01-3.05
16 Al 0.8824 0.4347 0.8824  6 Al 2.73-2.93, 3 Er 3.01-3.05
17 Al 0.8824 0.8824 0.4347  6 Al 2.73-2.93, 3 Er 3.01-3.05
18 Al 0.5653 0.1176 0.1176  6 Al 2.73-2.93, 3 Er 3.01-3.05
19 Al 0.1176 0.5653 0.1176  6 Al 2.73-2.93, 3 Er 3.01-3.05
20 Al 0.1176 0.1176 0.5653  6 Al 2.73-2.93, 3 Er 3.01-3.05

Summary:
VASP energy, eV/atom: -4.845
Density, kg/m³: 5336
Calculated formation energy, eV/f.u.: -8.42
Total magnetization, μB/atom: 0.347